Material: V2AgO6
Method: DFT, PBE with a Hubbard U
State: optimized geometry

Properties
As for the space group: C2/c. The density of states at the Fermi level comes out at 2.7 states/eV/f.u. The value obtained for the calculated total energy is -6.6697 eV/atom. The total magnetization is 0.00 μB per atom.

a = 5.9548 Å, b = 7.3090 Å, c = 7.3090 Å
α = 82.15°, β = 72.65°, γ = 72.65°
Last column: nearest neighbours and their distance in Å.
Positions (direct):
1 V 0.2604 0.6254 0.7946  4 O 1.66-1.81
2 V 0.2396 0.2054 0.3746  4 O 1.66-1.81
3 V 0.7396 0.3746 0.2054  4 O 1.66-1.81
4 V 0.7604 0.7946 0.6254  4 O 1.66-1.81
5 Ag 0.2500 0.1061 0.8939  4 O 2.13-2.31
6 Ag 0.7500 0.8939 0.1061  4 O 2.13-2.31
7 O 0.5611 0.6415 0.6588  2 V 1.80-1.81
8 O 0.9389 0.3412 0.3585  2 V 1.80-1.81
9 O 0.4389 0.3585 0.3412  2 V 1.80-1.81
10 O 0.0611 0.6588 0.6415  2 V 1.80-1.81
11 O 0.7799 0.9108 0.4113  1 V 1.66
12 O 0.7201 0.5887 0.0892  1 V 1.66
13 O 0.2201 0.0892 0.5887  1 V 1.66
14 O 0.2799 0.4113 0.9108  1 V 1.66
15 O 0.1292 0.8058 0.9578  1 V 1.74
16 O 0.3708 0.0422 0.1942  1 V 1.74
17 O 0.8708 0.1942 0.0422  1 V 1.74
18 O 0.6292 0.9578 0.8058  1 V 1.74